# 1
Below is a geometry-optimized Sm2TiNi3As4 structure, with properties calculated at the GGA-PBE level.

```
Sm2TiNi3As4
1.0
4.1879 0.0000 0.0000
0.0000 4.1879 0.0000
0.0000 0.0000 9.9721
Sm Ti Ni As
2 1 3 4
Direct
0.0000 0.5000 0.2317 Sm
0.5000 0.0000 0.7683 Sm
0.0000 0.0000 0.5000 Ti
0.0000 0.5000 0.8845 Ni
0.5000 0.0000 0.1155 Ni
0.5000 0.5000 0.5000 Ni
0.0000 0.0000 0.0000 As
0.0000 0.5000 0.6448 As
0.5000 0.0000 0.3552 As
0.5000 0.5000 0.0000 As
```

***

# 2
Below is a geometry-optimized Ni3Sn2As2 structure, with properties calculated at the GGA-PBE level.

```
Ni3Sn2As2
1.0
3.8569 0.0000 0.0000
1.9073 5.2300 0.0000
0.0072 0.5972 6.4382
Ni Sn As
3 2 2
Direct
0.0000 0.0000 0.0000 Ni
0.1947 0.6098 0.7699 Ni
0.8053 0.3902 0.2301 Ni
0.1483 0.7056 0.3648 Sn
0.8517 0.2944 0.6352 Sn
0.3675 0.2658 0.0479 As
0.6325 0.7342 0.9521 As
```

E above lowest polymorph ... 0.48 eV per formula unit

***

no.,magnetization (μB/f.u.),total DFT energy (no corrections) (eV/atom)
1,0.423,-6.154
2,0.000,-5.066